Below is an optimized crystal structure of Sc2Ni2BRh4, with properties calculated at the PBE-GGA level.

```
Sc2Ni2BRh4
1.0
-4.797 -2.506 -1.192
3.974 0.027 -3.862
3.296 -2.320 3.804
Sc Rh Ni B
2 4 2 1
direct
0.500 0.250 0.750
0.500 0.750 0.250
0.000 0.742 0.258
0.484 0.742 0.742
0.516 0.258 0.258
0.000 0.258 0.742
0.000 0.261 0.261
0.000 0.739 0.739
0.000 0.000 0.000
```

Output
The value obtained for the density of states at the Fermi level is 9.19 states/eV/f.u. The formation energy is -0.7063 eV/atom.